1.
A relaxed NaHg6Pb2 crystal, computed with PBE.

Geometry as extended XYZ:
```
9
Lattice="7.325 -5.002 0.000 7.325 5.002 0.000 -0.380 0.000 3.365" Properties=species:S:1:pos:R:3 pbc="T T T"
Na 0.000 0.000 0.000
Hg 2.375 1.582 2.294
Hg 7.135 2.093 1.683
Hg 2.375 -1.582 2.294
Hg 11.896 1.582 1.072
Hg 7.135 -2.093 1.683
Hg 11.896 -1.582 1.072
Pb 4.989 0.000 3.169
Pb 9.282 0.000 0.196
```

- density (Mg/m³) = 11.0
- energy of formation (eV/atom) = -0.053
- space group = C2/m
- total energy (eV/atom) = -1.2249

=====

2.
A relaxed La3Tb2Nd2 crystal, computed with PBE.

Geometry as extended XYZ:
```
7
Lattice="3.679 0.000 0.000 1.836 6.098 0.000 0.016 1.167 10.937" Properties=species:S:1:pos:R:3 pbc="T T T"
La 0.000 0.000 0.000
La 1.851 5.013 6.245
La 3.680 2.252 4.692
Tb 1.850 1.710 7.817
Tb 3.680 5.555 3.120
Nd 1.842 2.790 1.564
Nd 3.689 4.475 9.372
```

- density (Mg/m³) = 6.9
- energy of formation (eV/atom) = 0.021
- space group = P-1
- total energy (eV/atom) = -4.7763
- distance to the lowest polymorph of the same formula (eV/atom) = 0.000

=====

3.
A relaxed YSc2Mo crystal, computed with PBE.

Geometry as extended XYZ:
```
8
Lattice="-2.144 2.144 10.262 2.144 -2.144 10.262 2.144 2.144 -10.262" Properties=species:S:1:pos:R:3 pbc="T T T"
Y 0.000 0.000 0.000
Y 0.000 2.144 5.131
Sc 1.072 1.185 -2.566
Sc 3.104 1.072 2.566
Sc 1.072 0.960 7.697
Sc -0.960 1.072 12.828
Mo 2.144 0.000 5.131
Mo 0.000 0.000 10.262
```

- density (Mg/m³) = 4.8
- energy of formation (eV/atom) = 0.615
- space group = I-42d
- total energy (eV/atom) = -6.8744
- distance to the lowest polymorph of the same formula (eV/atom) = 0.472

=====

4.
A relaxed LaNiW2 crystal, computed with PBE.

Geometry as extended XYZ:
```
4
Lattice="-1.695 2.551 4.410 1.695 -2.551 4.410 1.695 2.551 -4.410" Properties=species:S:1:pos:R:3 pbc="T T T"
La 0.000 0.000 0.000
Ni 1.695 0.000 2.357
W 0.000 0.000 4.399
W 0.000 2.551 1.894
```

- density (Mg/m³) = 12.3
- energy of formation (eV/atom) = 0.720
- space group = Imm2
- total energy (eV/atom) = -8.4334
- distance to the lowest polymorph of the same formula (eV/atom) = 0.413

=====

5.
A relaxed ScGeBiO6 crystal, computed with PBE.

Geometry as extended XYZ:
```
18
Lattice="4.788 0.000 0.000 0.000 4.788 0.000 0.000 0.000 9.529" Properties=species:S:1:pos:R:3 pbc="T T T"
Sc 0.000 0.000 0.000
Sc 2.394 2.394 4.764
Ge 0.000 0.000 3.180
Ge 2.394 2.394 7.944
Bi 0.000 0.000 6.361
Bi 2.394 2.394 1.597
O 0.872 0.872 1.699
O 0.903 0.903 4.625
O 1.013 1.013 7.967
O 1.381 3.407 3.202
O 1.491 3.297 9.390
O 1.522 3.266 6.463
O 3.266 1.522 6.463
O 3.297 1.491 9.390
O 3.407 1.381 3.202
O 3.775 3.775 7.967
O 3.885 3.885 4.625
O 3.916 3.916 1.699
```

- density (Mg/m³) = 6.4
- ΔE_f (raw) (meV/atom) = -1799
- space group = P4_2nm
- total energy (eV/atom) = -6.7520

=====

6.
A relaxed YHgOs crystal, computed with PBE.

Geometry as extended XYZ:
```
3
Lattice="-1.783 1.783 4.894 1.783 -1.783 4.894 1.783 1.783 -4.894" Properties=species:S:1:pos:R:3 pbc="T T T"
Y 0.000 0.000 0.000
Hg 0.000 0.000 6.762
Os 0.000 0.000 3.371
```

- density (Mg/m³) = 12.8
- energy of formation (eV/atom) = 0.163
- space group = I4mm
- total energy (eV/atom) = -5.8357
- distance to the lowest polymorph of the same formula (eV/atom) = 0.000

=====

7.
A relaxed SmHgAu4 crystal, computed with PBE.

Geometry as extended XYZ:
```
6
Lattice="4.788 0.000 0.000 -2.394 4.146 0.000 0.000 0.000 6.546" Properties=species:S:1:pos:R:3 pbc="T T T"
Sm 0.000 0.000 0.000
Hg 0.000 0.000 3.273
Au 0.000 2.764 1.669
Au 0.000 2.764 4.876
Au 2.394 1.382 1.669
Au 2.394 1.382 4.876
```

- density (Mg/m³) = 14.6
- energy of formation (eV/atom) = -0.413
- space group = P6/mmm
- total energy (eV/atom) = -3.4350

=====

8.
A relaxed Na5In3Pb4 crystal, computed with PBE.

Geometry as extended XYZ:
```
12
Lattice="6.118 0.000 0.000 0.081 6.786 0.000 0.236 0.292 8.356" Properties=species:S:1:pos:R:3 pbc="T T T"
Na 0.000 0.000 0.000
Na 2.161 3.559 5.524
Na 3.057 1.727 0.027
Na 3.379 5.352 8.329
Na 4.275 3.519 2.832
In 0.041 3.393 0.000
In 1.070 1.790 2.775
In 5.366 5.289 5.581
Pb 1.162 5.223 2.768
Pb 2.282 6.950 5.538
Pb 4.154 0.129 2.818
Pb 5.274 1.855 5.588
```

- density (Mg/m³) = 6.2
- energy of formation (eV/atom) = -0.092
- space group = P-1
- total energy (eV/atom) = -2.5620

=====

| no. | V (Å³ per cell) |
| --- | --- |
| 1 | 246.61 |
| 2 | 245.37 |
| 3 | 188.72 |
| 4 | 76.30 |
| 5 | 218.45 |
| 6 | 62.25 |
| 7 | 129.95 |
| 8 | 346.94 |